1.
# Rb2CrHgSe4 GGA-PBE optimized geometry
data_Rb2CrHgSe4
_space_group_name_H-M_alt 'F d d d'
_space_group_IT_number 70
_cell_length_a 7.364
_cell_length_b 12.651
_cell_length_c 23.926
_cell_angle_alpha 90.00
_cell_angle_beta 90.00
_cell_angle_gamma 90.00
loop_
_space_group_symop_operation_xyz
'x,y,z'
'-x,-y,-z'
'-x+1/4,-y+1/4,z'
'x+1/4,y+1/4,-z'
'x,-y+1/4,-z+1/4'
'-x,y+1/4,z+1/4'
'-x+1/4,y,-z+1/4'
'x+1/4,-y,z+1/4'
'x,y+1/2,z+1/2'
'-x,-y+1/2,-z+1/2'
'-x+1/4,-y+3/4,z+1/2'
'x+1/4,y+3/4,-z+1/2'
'x,-y+3/4,-z+3/4'
'-x,y+3/4,z+3/4'
'-x+1/4,y+1/2,-z+3/4'
'x+1/4,-y+1/2,z+3/4'
'x+1/2,y,z+1/2'
'-x+1/2,-y,-z+1/2'
'-x+3/4,-y+1/4,z+1/2'
'x+3/4,y+1/4,-z+1/2'
'x+1/2,-y+1/4,-z+3/4'
'-x+1/2,y+1/4,z+3/4'
'-x+3/4,y,-z+3/4'
'x+3/4,-y,z+3/4'
'x+1/2,y+1/2,z'
'-x+1/2,-y+1/2,-z'
'-x+3/4,-y+3/4,z'
'x+3/4,y+3/4,-z'
'x+1/2,-y+3/4,-z+1/4'
'-x+1/2,y+3/4,z+1/4'
'-x+3/4,y+1/2,-z+1/4'
'x+3/4,-y+1/2,z+1/4'
loop_
_atom_site_label
_atom_site_type_symbol
_atom_site_fract_x
_atom_site_fract_y
_atom_site_fract_z
Rb1 Rb 0.125 0.125 0.305
Cr1 Cr 0.125 0.125 0.625
Hg1 Hg 0.125 0.125 0.125
Se1 Se 0.064 0.279 0.822
# Fermi-level density of states: 1.956 states/eV/cell
# Total DFT energy (no corrections): -3.85 eV/atom

***

2.
# Sr2MnSiMo GGA-PBE optimized geometry
data_Sr2MnSiMo
_space_group_name_H-M_alt 'P 4/m m m'
_space_group_IT_number 123
_space_group_name_Hall '-P 4 2'
_cell_length_a 5.835
_cell_length_b 5.835
_cell_length_c 4.231
_cell_angle_alpha 90.00
_cell_angle_beta 90.00
_cell_angle_gamma 90.00
loop_
_atom_site_label
_atom_site_type_symbol
_atom_site_fract_x
_atom_site_fract_y
_atom_site_fract_z
Sr1 Sr 0.000 0.500 0.000
Mn1 Mn 0.000 0.000 0.000
Si1 Si 0.500 0.500 0.500
Mo1 Mo 0.000 0.000 0.500
# Distance to the lowest polymorph of the same formula: 10 meV/atom
# Fermi-level density of states: 9.383 states/eV/cell
# Total DFT energy (no corrections): -4.81 eV/atom

***

3.
# BaMg6CdO8 GGA-PBE optimized geometry
data_BaMg6CdO8
_space_group_name_H-M_alt 'P 4/m m m'
_space_group_IT_number 123
_space_group_name_Hall '-P 4 2'
_cell_length_a 4.714
_cell_length_b 4.714
_cell_length_c 9.104
_cell_angle_alpha 90.00
_cell_angle_beta 90.00
_cell_angle_gamma 90.00
loop_
_atom_site_label
_atom_site_type_symbol
_atom_site_fract_x
_atom_site_fract_y
_atom_site_fract_z
Ba1 Ba 0.000 0.000 0.000
Mg1 Mg 0.000 0.500 0.266
Mg2 Mg 0.500 0.500 0.000
Mg3 Mg 0.500 0.500 0.500
Cd1 Cd 0.000 0.000 0.500
O1 O 0.000 0.000 0.269
O2 O 0.000 0.500 0.000
O3 O 0.000 0.500 0.500
O4 O 0.500 0.500 0.257
# Distance to the lowest polymorph of the same formula: 78 meV/atom
# Fermi-level density of states: 2.996 states/eV/cell
# Total DFT energy (no corrections): -5.31 eV/atom

***

4.
# Ba3LaTa3O12 GGA-PBE optimized geometry
data_Ba3LaTa3O12
_space_group_name_H-M_alt 'R 3 m'
_space_group_IT_number 160
_space_group_name_Hall 'R 3 -2"'
_cell_length_a 5.8084
_cell_length_b 5.8084
_cell_length_c 28.0170
_cell_angle_alpha 90.00
_cell_angle_beta 90.00
_cell_angle_gamma 120.00
loop_
_atom_site_label
_atom_site_type_symbol
_atom_site_fract_x
_atom_site_fract_y
_atom_site_fract_z
Ba1 Ba 0.0000 0.0000 0.0000
Ba2 Ba 0.0000 0.0000 0.1542
Ba3 Ba 0.0000 0.0000 0.5774
La1 La 0.0000 0.0000 0.7195
Ta1 Ta 0.0000 0.0000 0.2895
Ta2 Ta 0.0000 0.0000 0.4434
Ta3 Ta 0.0000 0.0000 0.8662
O1 O 0.0013 0.5006 0.9909
O2 O 0.0020 0.5010 0.5762
O3 O 0.1686 0.3373 0.4941
O4 O 0.1688 0.3376 0.0782
# Fermi-level density of states: 0.000 states/eV/cell
# Total DFT energy (no corrections): -8.59 eV/atom

***

5.
# Rb3Si4Au2 GGA-PBE optimized geometry
data_Rb3Si4Au2
_space_group_name_H-M_alt 'C 1 2/m 1'
_space_group_IT_number 12
_space_group_name_Hall '-C 2y'
_cell_length_a 14.864
_cell_length_b 4.353
_cell_length_c 9.797
_cell_angle_alpha 90.00
_cell_angle_beta 118.50
_cell_angle_gamma 90.00
loop_
_atom_site_label
_atom_site_type_symbol
_atom_site_fract_x
_atom_site_fract_y
_atom_site_fract_z
Rb1 Rb 0.000 0.000 0.000
Rb2 Rb 0.183 0.500 0.765
Si1 Si 0.047 0.000 0.428
Si2 Si 0.239 0.000 0.558
Au1 Au 0.065 0.500 0.324
# Fermi-level density of states: 5.308 states/eV/cell
# Total DFT energy (no corrections): -3.46 eV/atom

***

6.
# CdPt2W GGA-PBE optimized geometry
data_CdPt2W
_space_group_name_H-M_alt 'P 4/m m m'
_space_group_IT_number 123
_space_group_name_Hall '-P 4 2'
_cell_length_a 2.841
_cell_length_b 2.841
_cell_length_c 8.214
_cell_angle_alpha 90.00
_cell_angle_beta 90.00
_cell_angle_gamma 90.00
loop_
_atom_site_label
_atom_site_type_symbol
_atom_site_fract_x
_atom_site_fract_y
_atom_site_fract_z
Cd1 Cd 0.000 0.000 0.000
Pt1 Pt 0.500 0.500 0.269
W1 W 0.000 0.000 0.500
# ΔH_f (0 K): -0.301 eV per atom
# Fermi-level density of states: 2.519 states/eV/cell
# Total DFT energy (no corrections): -6.79 eV/atom